No. 1
Cs4Pa3PdSe8: relaxed, PBE-GGA.

Computed properties:
The calculation puts the uncorrected formation energy at -1168 meV per atom.

Lattice parameters (Å, degrees): 8.4749 9.7321 8.4923 115.92 119.93 90.00
With the nearest neighbours (Å) after each atom.
Positions (direct):
Se: 0.2335 0.6845 0.4670  2 Pa 2.87, 1 Pd 2.97
Se: 0.2320 0.6833 0.9509  2 Pa 2.87, 1 Pd 2.95
Se: 0.7665 0.3155 0.5330  2 Pa 2.87, 1 Pd 2.97
Cs: 0.0000 0.0000 0.0000  6 Se 3.58-3.64
Cs: 0.5000 0.0000 0.0000  6 Se 3.56-3.57
Se: 0.7299 0.6902 0.4598  3 Pa 2.92-2.93
Cs: 0.0000 0.0000 0.5000  6 Se 3.57-3.64
Cs: 0.5000 0.0000 0.5000  6 Se 3.57-3.64
Se: 0.2811 0.3167 0.0491  2 Pa 2.87, 1 Pd 2.95
Pa: 0.5000 0.5000 0.5000  6 Se 2.87-2.92
Pa: 0.5000 0.5000 0.0000  6 Se 2.87-2.93
Se: 0.7680 0.3167 0.0491  2 Pa 2.87, 1 Pd 2.95
Pa: 0.0000 0.5000 0.5000  6 Se 2.87-2.92
Pd: 0.0000 0.5000 0.0000  6 Se 2.95-2.97
Se: 0.7189 0.6833 0.9509  2 Pa 2.87, 1 Pd 2.95
Se: 0.2701 0.3098 0.5402  3 Pa 2.92-2.93

No. 2
Cs3PaPd2Se6: relaxed, PBE-GGA.

Computed properties:
The calculation puts the uncorrected formation energy at -838 meV per atom.

Lattice parameters (Å, degrees): 6.9970 6.9970 8.6905 97.72 97.72 120.04
With the nearest neighbours (Å) after each atom.
Positions (direct):
Pd: 0.6667 0.3333 0.0000  6 Se 2.72
Cs: 0.5000 0.5000 0.5000  6 Se 3.54-3.62
Se: 0.0579 0.4030 0.1743  2 Pd 2.72, 1 Pa 2.82
Pd: 0.3333 0.6667 0.0000  6 Se 2.72
Se: 0.2865 0.2865 0.8258  2 Pd 2.72, 1 Pa 2.82
Pa: 0.0000 0.0000 0.0000  6 Se 2.82
Cs: 0.1671 0.8329 0.5000  6 Se 3.53-3.62
Se: 0.9421 0.5970 0.8257  2 Pd 2.72, 1 Pa 2.82
Cs: 0.8329 0.1671 0.5000  6 Se 3.53-3.62
Se: 0.5970 0.9421 0.8257  2 Pd 2.72, 1 Pa 2.82
Se: 0.7135 0.7135 0.1742  2 Pd 2.72, 1 Pa 2.82
Se: 0.4030 0.0579 0.1743  2 Pd 2.72, 1 Pa 2.82

No. 3
CsPaPdSe4: relaxed, PBE-GGA.

Computed properties:
The calculation puts the uncorrected formation energy at -1011 meV per atom.

Lattice parameters (Å, degrees): 7.2685 5.7758 10.1347 90.00 106.58 90.00
With the nearest neighbours (Å) after each atom.
Positions (direct):
Se: 0.5746 0.2500 0.4170  1 Pd 2.51
Pd: 0.7406 0.2500 0.6708  4 Se 2.50-2.51
Pa: 0.7275 0.7500 0.4502  6 Se 2.72-3.02
Se: 0.9807 0.4877 0.3165  1 Pd 2.50, 1 Se 2.75
Se: 0.5092 0.2500 0.8120  1 Pd 2.50, 1 Pa 2.72
Se: 0.4254 0.7500 0.5830  1 Pd 2.51
Se: 0.4908 0.7500 0.1880  1 Pd 2.50, 1 Pa 2.72
Pa: 0.2725 0.2500 0.5498  6 Se 2.72-3.02
Se: 0.9807 0.0123 0.3165  1 Pd 2.50, 1 Se 2.75
Pd: 0.2594 0.7500 0.3292  4 Se 2.50-2.51
Cs: 0.2296 0.2500 0.0481  8 Se 3.52-3.92
Cs: 0.7704 0.7500 0.9519  8 Se 3.52-3.92
Se: 0.0193 0.9877 0.6835  1 Pd 2.50, 1 Se 2.75
Se: 0.0193 0.5123 0.6835  1 Pd 2.50, 1 Se 2.75

No. 4
CsPaPd2Se4: relaxed, PBE-GGA.

Computed properties:
The calculation puts the uncorrected formation energy at -672 meV per atom.

Lattice parameters (Å, degrees): 5.8016 7.0632 7.0632 73.73 65.75 65.75
With the nearest neighbours (Å) after each atom.
Positions (direct):
Pd: 0.8598 0.6402 0.6402  2 Se 2.48, 1 Pd 2.72
Se: 0.4785 0.1166 0.5256  1 Pd 2.48, 1 Pa 2.71
Se: 0.5215 0.4744 0.8834  1 Pd 2.48, 1 Pa 2.71
Pa: 0.5000 0.5000 0.5000  4 Se 2.71
Cs: 0.0000 0.0000 0.0000  8 Se 3.51-3.75
Se: 0.1207 0.8834 0.4744  1 Pd 2.48, 1 Pa 2.71
Pd: 0.1402 0.3598 0.3598  2 Se 2.48, 1 Pd 2.72
Se: 0.8793 0.5256 0.1166  1 Pd 2.48, 1 Pa 2.71

No. 5
Cs2PaPdSe4: relaxed, PBE-GGA.

Computed properties:
The calculation puts the uncorrected formation energy at -962 meV per atom.

Lattice parameters (Å, degrees): 6.4316 8.3767 13.5701 84.78 76.29 67.42
With the nearest neighbours (Å) after each atom.
Positions (direct):
Se: 0.3160 0.7924 0.0994  1 Pd 2.58, 1 Pa 2.67
Se: 0.2078 0.2076 0.9006  1 Pd 2.58, 1 Pa 2.67
Cs: 0.1805 0.0000 0.6391  8 Se 3.87-4.16
Pd: 0.2500 0.5000 0.5000  4 Se 2.58
Se: 0.1654 0.2924 0.4006  1 Pd 2.58, 1 Pa 2.67
Cs: 0.5695 0.5000 0.8609  8 Se 3.87-4.16
Se: 0.5846 0.2076 0.0994  1 Pd 2.58, 1 Pa 2.67
Pd: 0.5000 0.0000 0.0000  4 Se 2.58
Pa: 0.0000 0.0000 0.0000  4 Se 2.67
Se: 0.8916 0.7924 0.9006  1 Pd 2.58, 1 Pa 2.67
Se: 0.5422 0.2924 0.5994  1 Pd 2.58, 1 Pa 2.67
Cs: 0.9305 0.5000 0.1391  8 Se 3.87-4.16
Cs: 0.8195 0.0000 0.3609  8 Se 3.87-4.16
Se: 0.8584 0.7076 0.5994  1 Pd 2.58, 1 Pa 2.67
Se: 0.4340 0.7076 0.4006  1 Pd 2.58, 1 Pa 2.67
Pa: 0.7500 0.5000 0.5000  4 Se 2.67

No. 6
Cs2PaPd2Se4: relaxed, PBE-GGA.

Computed properties:
The calculation puts the uncorrected formation energy at -1060 meV per atom.

Lattice parameters (Å, degrees): 4.2098 8.5528 7.8514 106.74 105.55 90.00
With the nearest neighbours (Å) after each atom.
Positions (direct):
Se: 0.5136 0.7802 0.0273  1 Pd 2.64, 2 Pa 2.87
Se: 0.4864 0.2198 0.9727  1 Pd 2.64, 2 Pa 2.87
Se: 0.8103 0.8339 0.6206  3 Pd 2.55-2.71, 1 Pa 2.80
Cs: 0.8610 0.4259 0.7220  7 Se 3.56-3.84, 1 Pd 3.88
Pd: 0.3194 0.0054 0.6389  4 Se 2.55-2.71
Pa: 0.0000 0.0000 0.0000  6 Se 2.80-2.87
Se: 0.1897 0.1661 0.3794  3 Pd 2.55-2.71, 1 Pa 2.80
Cs: 0.1390 0.5741 0.2780  7 Se 3.56-3.84, 1 Pd 3.88
Pd: 0.6806 0.9946 0.3611  4 Se 2.55-2.71